(1)
This record from OQMD describes crystalline Pd2PtPb at its relaxed geometry. The functional is PBE-GGA.

Calculated values
Density ... 14.73 Mg/m³
VASP energy ... -5.179 eV/atom

Unit cell a=4.6118 b=4.6118 c=4.6118 alpha=60.00 beta=60.00 gamma=60.00
Sites, in units of the cell vectors:
Pd  0.0000  0.0000  0.0000
Pd  0.7500  0.7500  0.7500
Pt  0.2500  0.2500  0.2500
Pb  0.5000  0.5000  0.5000


(2)
This record from OQMD describes crystalline LiNbPO at its relaxed geometry. The functional is PBE-GGA.

Calculated values
Density ... 4.03 Mg/m³
VASP energy ... -6.961 eV/atom

Unit cell a=3.2982 b=6.1926 c=5.9195 alpha=90.00 beta=90.00 gamma=90.00
Sites, in units of the cell vectors:
O  0.5000  0.7624  0.3592
O  0.5000  0.2376  0.8592
Nb  0.5000  0.0217  0.6194
Nb  0.5000  0.9783  0.1194
Li  0.0000  0.3855  0.9325
Li  0.0000  0.6145  0.4325
P  0.0000  0.7854  0.8429
P  0.0000  0.2146  0.3429


(3)
This record from OQMD describes crystalline ZnCu2Si at its relaxed geometry. The functional is PBE-GGA.

Calculated values
Density ... 7.15 Mg/m³
VASP energy ... -3.448 eV/atom

Unit cell a=5.8968 b=5.8968 c=5.8968 alpha=90.00 beta=90.00 gamma=90.00
Sites, in units of the cell vectors:
Zn  0.5000  0.5000  0.5000
Zn  0.5000  0.0000  0.5000
Zn  0.5000  0.5000  0.0000
Zn  0.0000  0.5000  0.5000
Si  0.0000  0.0000  0.5000
Si  0.0000  0.5000  0.0000
Si  0.0000  0.0000  0.0000
Si  0.5000  0.0000  0.0000
Cu  0.2475  0.7525  0.7525
Cu  0.7525  0.2475  0.2475
Cu  0.2475  0.2475  0.7525
Cu  0.7525  0.2475  0.7525
Cu  0.2475  0.7525  0.2475
Cu  0.7525  0.7525  0.7525
Cu  0.7525  0.7525  0.2475
Cu  0.2475  0.2475  0.2475


(4)
This record from OQMD describes crystalline LaCdAg2 at its relaxed geometry. The functional is PBE-GGA.

Calculated values
E_form ... -123.1 meV per atom
Density ... 7.80 Mg/m³
VASP energy ... -2.990 eV/atom

Unit cell a=4.8330 b=4.8330 c=4.2572 alpha=90.00 beta=90.00 gamma=90.00
Sites, in units of the cell vectors:
Cd  0.0000  0.0000  0.0000
La  0.5000  0.5000  0.0000
Ag  0.5000  0.0000  0.5000
Ag  0.0000  0.5000  0.5000


(5)
This record from OQMD describes crystalline BaErZn4O7 at its relaxed geometry. The functional is PBE-GGA.

Calculated values
Density ... 6.34 Mg/m³
VASP energy ... -5.508 eV/atom

Unit cell a=6.3129 b=6.3104 c=10.3062 alpha=90.00 beta=90.00 gamma=59.99
Sites, in units of the cell vectors:
Zn  0.3298  0.3404  0.6671
Zn  0.3305  0.8295  0.6678
Zn  0.6702  0.6596  0.1671
Zn  0.4995  0.0010  0.4197
Zn  0.6695  0.1705  0.1678
Zn  0.5005  0.9990  0.9197
Zn  0.8399  0.8295  0.6678
Zn  0.1601  0.1705  0.1678
O  0.1659  0.1634  0.9806
O  0.0007  0.5018  0.2330
O  0.3318  0.3364  0.4800
O  0.6708  0.1634  0.9806
O  0.4998  0.0004  0.7295
O  0.6682  0.6636  0.9800
O  0.5025  0.4982  0.7330
O  0.9993  0.4982  0.7330
O  0.9987  0.0026  0.2357
O  0.0013  0.9974  0.7357
O  0.4975  0.5018  0.2330
O  0.3292  0.8366  0.4806
O  0.8341  0.8366  0.4806
O  0.5002  0.9996  0.2295
Ba  0.1659  0.6683  0.9791
Ba  0.8341  0.3317  0.4791
Er  0.8341  0.3318  0.8563
Er  0.1659  0.6682  0.3563


(6)
This record from OQMD describes crystalline Ta2Fe3Mo4N3 at its relaxed geometry. The functional is PBE-GGA.

Calculated values
Density ... 10.87 Mg/m³
VASP energy ... -9.974 eV/atom

Unit cell a=5.0394 b=5.0394 c=13.5449 alpha=100.71 beta=100.71 gamma=60.28
Each line ends with the local moment (μB).
Sites, in units of the cell vectors:
Fe  0.1100  0.8900  0.2500  1.34
Fe  0.9404  0.5851  0.7489  1.36
Fe  0.8900  0.1100  0.7500  1.34
Fe  0.4149  0.0596  0.7511  1.33
Fe  0.5851  0.9404  0.2489  1.33
Fe  0.0596  0.4149  0.2511  1.36
Mo  0.8109  0.9578  0.9077  0.00
Mo  0.1285  0.3003  0.9076  0.00
Mo  0.3003  0.1285  0.4076  0.00
Mo  0.9578  0.8109  0.4077  -0.01
Mo  0.6997  0.8715  0.5924  0.00
Mo  0.0422  0.1891  0.5923  -0.01
Mo  0.1891  0.0422  0.0923  0.00
Mo  0.8715  0.6997  0.0924  0.00
Ta  0.5419  0.3797  0.1278  -0.09
Ta  0.6203  0.4581  0.3722  -0.09
Ta  0.3797  0.5419  0.6278  -0.09
Ta  0.4581  0.6203  0.8722  -0.09
N  0.6451  0.2106  0.5000  -0.01
N  0.5000  0.0000  0.0000  -0.01
N  0.3549  0.7894  0.5000  -0.01
N  0.0000  0.5000  0.5000  -0.02
N  0.2106  0.6451  0.0000  -0.01
N  0.7894  0.3549  0.0000  -0.01


(7)
This record from OQMD describes crystalline NaTh2 at its relaxed geometry. The functional is PBE-GGA.

Calculated values
Density ... 2.84 Mg/m³
VASP energy ... -1.952 eV/atom

Unit cell a=9.3030 b=9.3030 c=9.3030 alpha=60.00 beta=60.00 gamma=60.00
Each line ends with the local moment (μB).
Sites, in units of the cell vectors:
Th  0.3750  0.8750  0.3750  0.87
Th  0.3750  0.3750  0.8750  0.85
Th  0.3750  0.3750  0.3750  0.90
Th  0.8750  0.3750  0.3750  1.15
Na  0.5000  0.5000  0.5000  0.06
Na  0.2500  0.2500  0.2500  0.06


(8)
This record from OQMD describes crystalline PmZnO3 at its relaxed geometry. The functional is PBE-GGA.

Calculated values
Density ... 6.62 Mg/m³
VASP energy ... -6.194 eV/atom

Unit cell a=3.6204 b=3.6204 c=4.9446 alpha=90.00 beta=90.00 gamma=90.00
Each line ends with the local moment (μB).
Sites, in units of the cell vectors:
Pm  0.0000  0.0000  0.5680  0.00
O  0.5000  0.0000  0.2569  -0.06
O  0.0000  0.5000  0.2569  -0.05
O  0.5000  0.5000  0.7117  -0.02
Zn  0.5000  0.5000  0.1065  -0.01


(9)
This record from OQMD describes crystalline YLu6Cu2Te2 at its relaxed geometry. The functional is PBE-GGA.

Calculated values
Density ... 9.05 Mg/m³
VASP energy ... -4.874 eV/atom

Unit cell a=9.1159 b=9.1159 c=9.1159 alpha=155.20 beta=68.23 gamma=117.58
Sites, in units of the cell vectors:
Lu  0.7845  0.0994  0.6851
Lu  0.0964  0.7425  0.3539
Lu  0.7641  0.8952  0.8689
Lu  0.4143  0.0994  0.3149
Lu  0.0263  0.8952  0.1311
Lu  0.3887  0.7425  0.6461
Cu  0.1675  0.4053  0.7622
Cu  0.6431  0.4053  0.2378
Te  0.7445  0.2445  0.5000
Te  0.1391  0.1391  0.0000
Y  0.4776  0.4776  0.0000


(10)
This record from OQMD describes crystalline Y3Er2Lu2Ni2Te2 at its relaxed geometry. The functional is PBE-GGA.

Calculated values
Density ... 7.73 Mg/m³
VASP energy ... -5.693 eV/atom

Unit cell a=9.3012 b=9.3012 c=9.3012 alpha=156.13 beta=67.09 gamma=118.35
Sites, in units of the cell vectors:
Lu  0.4106  0.0962  0.3145
Lu  0.7817  0.0962  0.6855
Er  0.0989  0.7469  0.3520
Er  0.3949  0.7469  0.6480
Y  0.0264  0.8945  0.1319
Y  0.7626  0.8945  0.8681
Y  0.4769  0.4769  0.0000
Ni  0.6423  0.4062  0.2362
Ni  0.1700  0.4062  0.7638
Te  0.7395  0.2395  0.5000
Te  0.1423  0.1423  0.0000


(11)
This record from OQMD describes crystalline PrErZn4 at its relaxed geometry. The functional is PBE-GGA.

Calculated values
E_form ... -365.9 meV per atom
Density ... 7.63 Mg/m³
VASP energy ... -2.765 eV/atom

Unit cell a=5.7063 b=5.7063 c=5.7063 alpha=133.34 beta=101.36 gamma=96.70
Sites, in units of the cell vectors:
Er  0.4745  0.4745  0.0000
Zn  0.4608  0.1633  0.2976
Zn  0.6252  0.8318  0.7934
Zn  0.8657  0.1633  0.7024
Zn  0.0384  0.8318  0.2066
Pr  0.0353  0.5353  0.5000


(12)
This record from OQMD describes crystalline FeMoAsAu at its relaxed geometry. The functional is PBE-GGA.

Calculated values
Density ... 11.01 Mg/m³
VASP energy ... -6.129 eV/atom

Unit cell a=4.4876 b=4.4876 c=4.4876 alpha=60.00 beta=60.00 gamma=60.00
Sites, in units of the cell vectors:
Mo  0.5000  0.5000  0.5000
Au  0.2500  0.2500  0.2500
As  0.0000  0.0000  0.0000
Fe  0.7500  0.7500  0.7500